No. 1
La3Dy2Ho6Sc: optimized geometry, PBE.

M_tot: 0.00 μB/f.u.
ΔE_f: 35 meV per atom
E_tot: -4.7808 eV per atom

```
12
Lattice="3.085 -5.345 0.000 3.085 5.345 0.000 -2.060 0.000 11.602" Properties=species:S:1:pos:R:3 pbc="T T T"
La 0.000 0.000 0.000
La 3.085 1.783 0.000
La 3.085 -1.783 0.000
Dy 2.055 3.566 5.801
Dy 2.055 -3.566 5.801
Ho 1.041 1.767 2.996
Ho 0.009 0.000 8.608
Ho 1.041 -1.767 2.996
Ho 3.069 1.767 8.607
Ho 4.101 0.000 2.995
Ho 3.069 -1.767 8.607
Sc 2.055 0.000 5.801
```

=====

No. 2
LaDy6Ho2Sc3: optimized geometry, PBE.

M_tot: 0.00 μB/f.u.
ΔE_f: 49 meV per atom
E_tot: -5.0083 eV per atom

```
12
Lattice="3.030 -5.248 0.000 3.030 5.248 0.000 -2.020 0.000 11.326" Properties=species:S:1:pos:R:3 pbc="T T T"
La 0.000 0.000 0.000
Dy 1.015 1.755 2.956
Dy 0.007 0.000 8.367
Dy 1.015 -1.755 2.956
Dy 3.025 1.755 8.371
Dy 4.034 0.000 2.959
Dy 3.025 -1.755 8.371
Ho 3.030 1.748 0.000
Ho 3.030 -1.748 0.000
Sc 2.020 3.496 5.663
Sc 2.020 0.000 5.663
Sc 2.020 -3.496 5.663
```

=====

No. 3
La2Dy5HoSc: optimized geometry, PBE.

M_tot: 0.00 μB/f.u.
ΔE_f: 152 meV per atom
E_tot: -4.7119 eV per atom

```
18
Lattice="2.789 -10.023 0.000 2.789 10.023 0.000 0.000 0.000 10.436" Properties=species:S:1:pos:R:3 pbc="T T T"
La 2.789 7.735 5.218
La 2.789 7.706 9.618
La 2.789 -7.706 4.400
La 2.789 -7.735 0.000
Dy 2.789 9.720 2.120
Dy 2.789 4.510 5.280
Dy 2.789 4.076 9.262
Dy 2.789 2.529 2.141
Dy 2.789 0.316 9.687
Dy 2.789 -0.316 4.469
Dy 2.789 -2.529 7.359
Dy 2.789 -4.076 4.044
Dy 2.789 -4.510 0.062
Dy 2.789 -9.720 7.338
Ho 2.789 1.861 6.774
Ho 2.789 -1.861 1.556
Sc 2.789 6.077 2.088
Sc 2.789 -6.077 7.305
```

=====

No. 4
LaDy4Ho2Sc: optimized geometry, PBE.

M_tot: 1.21 μB/f.u.
ΔE_f: 425 meV per atom
E_tot: -4.4274 eV per atom

```
16
Lattice="-3.368 5.793 6.532 3.368 -5.793 6.532 3.368 5.793 -6.532" Properties=species:S:1:pos:R:3 pbc="T T T"
La -1.684 2.896 3.266
La 1.684 2.896 3.266
Dy 3.368 5.791 -3.364
Dy 1.638 2.896 -0.003
Dy 1.730 -2.896 6.530
Dy 3.368 -0.002 3.364
Dy 0.000 5.795 3.168
Dy 1.638 8.689 0.003
Dy 1.730 2.896 6.535
Dy 0.000 0.002 9.897
Ho 1.684 2.896 -3.266
Ho 1.684 -2.896 3.266
Ho 3.368 0.000 0.000
Ho 0.000 0.000 6.532
Sc 0.000 0.000 0.000
Sc 0.000 5.793 0.000
```

=====

No. 5
LaDy3HoSc: optimized geometry, PBE.

M_tot: 0.00 μB/f.u.
ΔE_f: 49 meV per atom
E_tot: -4.8916 eV per atom

```
12
Lattice="2.489 -7.477 0.000 2.489 7.477 0.000 0.000 0.000 10.040" Properties=species:S:1:pos:R:3 pbc="T T T"
La 2.489 7.431 7.530
La 2.489 -7.431 2.510
Dy 2.489 4.958 0.008
Dy 2.489 4.958 5.012
Dy 2.489 2.561 7.530
Dy 2.489 -2.561 2.510
Dy 2.489 -4.958 5.028
Dy 2.489 -4.958 10.032
Ho 2.489 0.000 0.000
Ho 2.489 0.000 5.020
Sc 2.489 2.539 2.510
Sc 2.489 -2.539 7.530
```

=====

No. 6
La6DyHo2Sc: optimized geometry, PBE.

M_tot: 0.00 μB/f.u.
ΔE_f: 188 meV per atom
E_tot: -4.7771 eV per atom

```
10
Lattice="5.730 -3.558 0.000 5.730 3.558 0.000 -2.526 0.000 8.490" Properties=species:S:1:pos:R:3 pbc="T T T"
La 3.185 1.589 1.738
La 0.461 0.000 3.652
La 5.749 1.589 6.752
La 3.185 -1.589 1.738
La 8.473 0.000 4.838
La 5.749 -1.589 6.752
Dy 0.000 0.000 0.000
Ho 2.644 0.000 6.978
Ho 6.290 0.000 1.511
Sc 4.467 0.000 4.245
```

=====

No. 7
LaDyHo3Sc: optimized geometry, PBE.

M_tot: 0.00 μB/f.u.
ΔE_f: 50 meV per atom
E_tot: -4.8825 eV per atom

```
12
Lattice="2.489 -7.459 0.000 2.489 7.459 0.000 0.000 0.000 10.018" Properties=species:S:1:pos:R:3 pbc="T T T"
La 2.489 7.419 7.513
La 2.489 -7.419 2.504
Dy 2.489 0.000 0.000
Dy 2.489 0.000 5.009
Ho 2.489 4.941 0.009
Ho 2.489 4.941 5.000
Ho 2.489 2.556 7.513
Ho 2.489 -2.556 2.504
Ho 2.489 -4.941 5.018
Ho 2.489 -4.941 10.008
Sc 2.489 2.534 2.504
Sc 2.489 -2.534 7.513
```

=====

No. 8
LaDy5Ho2Sc: optimized geometry, PBE.

M_tot: 0.00 μB/f.u.
ΔE_f: 179 meV per atom
E_tot: -4.6461 eV per atom

```
18
Lattice="2.792 -9.844 0.000 2.792 9.844 0.000 0.000 0.000 10.355" Properties=species:S:1:pos:R:3 pbc="T T T"
La 2.792 8.172 5.177
La 2.792 -8.172 0.000
Dy 2.792 9.481 8.140
Dy 2.792 7.403 0.703
Dy 2.792 5.844 7.805
Dy 2.792 5.453 3.832
Dy 2.792 0.360 0.712
Dy 2.792 -0.360 5.889
Dy 2.792 -5.453 9.010
Dy 2.792 -5.844 2.628
Dy 2.792 -7.403 5.881
Dy 2.792 -9.481 2.962
Ho 2.792 2.242 8.088
Ho 2.792 2.198 3.751
Ho 2.792 -2.198 8.928
Ho 2.792 -2.242 2.911
Sc 2.792 3.873 0.636
Sc 2.792 -3.873 5.813
```